Compound: SrPuI6
Source: Alexandria via LeMat-Bulk
Functional: PBE-GGA
Structure: optimized geometry

The space group is C2/m (No. 12) and the conventional cell measures 7.840, 13.957 and 7.813 Å, with angles of 90.00, 107.52 and 90.00 degrees. The distinct sites, in fractional coordinates, are Sr at (0.000, 0.000, 0.000), Pu at (0.000, 0.500, 0.500), I at (0.227, 0.346, 0.733) and I at (0.240, 0.500, 0.267).

The value obtained for the electronic total energy is -4.300 eV per atom. As for the magnetization: 3.999 μB/f.u. The calculation puts the uncorrected formation energy at -9.08 eV/f.u. The theoretical density comes out at 4.45 Mg/m³.

=====

Compound: TbHoAlHg
Source: Alexandria via LeMat-Bulk
Functional: PBE-GGA
Structure: optimized geometry

The space group is F-43m (No. 216) and the conventional cell measures 7.362, 7.362 and 7.362 Å, with angles of 90.00, 90.00 and 90.00 degrees. The distinct sites, in fractional coordinates, are Tb at (0.000, 0.000, 0.000), Ho at (0.000, 0.000, 0.500), Al at (0.250, 0.250, 0.250) and Hg at (0.250, 0.250, 0.750).

The value obtained for the electronic total energy is -3.714 eV per atom. As for the magnetization: 0.000 μB/f.u. Its energy of formation from the pure elements is -0.40 eV/atom. The theoretical density comes out at 9.18 Mg/m³.

=====

Compound: ZrBe2Sn
Source: Alexandria via LeMat-Bulk
Functional: PBE-GGA
Structure: optimized geometry

The space group is I4_1/amd (No. 141, origin choice 2) and the conventional cell measures 4.169, 4.169 and 17.218 Å, with angles of 90.00, 90.00 and 90.00 degrees. The distinct sites, in fractional coordinates, are Zr at (0.000, 0.250, 0.375), Be at (0.000, 0.000, 0.000) and Sn at (0.000, 0.250, 0.875).

The value obtained for the electronic total energy is -4.537 eV per atom. As for the magnetization: 0.000 μB/f.u. Its energy of formation from the pure elements is 0.46 eV/atom. The theoretical density comes out at 5.06 Mg/m³.

=====

Compound: LiHoScRe
Source: Alexandria via LeMat-Bulk
Functional: PBE-GGA
Structure: optimized geometry

The space group is F-43m (No. 216) and the conventional cell measures 6.760, 6.760 and 6.760 Å, with angles of 90.00, 90.00 and 90.00 degrees. The distinct sites, in fractional coordinates, are Li at (0.000, 0.000, 0.000), Ho at (0.250, 0.250, 0.250), Sc at (0.250, 0.250, 0.750) and Re at (0.000, 0.000, 0.500).

The value obtained for the electronic total energy is -6.291 eV per atom. As for the magnetization: 0.000 μB/f.u. Its energy of formation from the pure elements is 0.03 eV/atom. The theoretical density comes out at 8.66 Mg/m³.

=====

Question: Which of these has the lowest electronic total energy?
Answer: LiHoScRe